[1]
VASP calculation (PBE) on a relaxed Ta4AgSe crystal.

Lattice parameters (Å, degrees): 5.5114 5.5114 5.5114 60.00 60.00 60.00
Last column: nearest neighbours and their distance in Å.
Element x y z (fractional)
Ta 0.8700 0.3767 0.3767  6 Ta 2.72-2.79
Ta 0.3767 0.3767 0.8700  6 Ta 2.72-2.79
Ta 0.3767 0.8700 0.3767  6 Ta 2.72-2.79
Ta 0.3767 0.3767 0.3767  6 Ta 2.72-2.79
Se 0.0000 0.0000 0.0000  12 Ta 3.24, 4 Ag 3.38
Ag 0.7500 0.7500 0.7500  12 Ta 3.23, 4 Se 3.38

Computed properties:
Calculated total energy   -0.609 Ry per atom
Magnetic moment   0.00 μB/f.u.
Space group   F-43m, No. 216
E_form (uncorrected)   0.68 eV/atom



[2]
VASP calculation (PBE) on a relaxed Ta2AgSe crystal.

Lattice parameters (Å, degrees): 4.7315 3.0576 5.3997 73.54 90.00 90.00
Last column: nearest neighbours and their distance in Å.
Element x y z (fractional)
Ta 0.0000 0.8299 0.9655  2 Se 2.50, 1 Ag 2.71
Ta 0.5000 0.1951 0.2342  2 Se 2.67
Ag 0.0000 0.5682 0.4884  3 Ta 2.71-2.91
Se 0.5000 0.9068 0.8119  4 Ta 2.50-2.67

Computed properties:
Calculated total energy   -0.535 Ry per atom
Magnetic moment   0.00 μB/f.u.
Space group   Amm2, No. 38
E_form (uncorrected)   0.24 eV/atom